# 1
VASP calculation (GGA+U) on a relaxed structure of LiAlVO4.

Output
Energy above the most stable polymorph in this dataset ... 52 meV/atom
Uncorrected energy ... -7.06 eV per atom

Geometry as CIF:
```
data_LiAlVO4
_chemical_formula_sum 'Li3 Al3 V3 O12'
_cell_length_a 5.4773
_cell_length_b 5.4773
_cell_length_c 12.2151
_cell_angle_alpha 90.00
_cell_angle_beta 90.00
_cell_angle_gamma 120.00
_space_group_name_H-M_alt 'P 62 2 2'
_space_group_IT_number 180
_space_group_name_Hall 'P 62 2 (0 0 4)'
loop_
_atom_site_label
_atom_site_type_symbol
_atom_site_fract_x
_atom_site_fract_y
_atom_site_fract_z
_atom_site_occupancy
Li1 Li 0.0000 0.0000 0.0000 1
Al1 Al 0.0000 0.5000 0.6667 1
V1 V 0.0000 0.5000 0.1667 1
O1 O 0.1868 0.3866 0.2576 1
```

=====

# 2
VASP calculation (GGA+U) on a relaxed structure of Li2AlWO6.

Output
Uncorrected energy ... -6.57 eV per atom

Geometry as CIF:
```
data_Li2AlWO6
_chemical_formula_sum 'Li6 Al3 W3 O18'
_cell_length_a 5.0622
_cell_length_b 5.0622
_cell_length_c 13.5528
_cell_angle_alpha 90.00
_cell_angle_beta 90.00
_cell_angle_gamma 120.00
_space_group_name_H-M_alt 'R 3'
_space_group_IT_number 146
_space_group_name_Hall 'R 3'
loop_
_atom_site_label
_atom_site_type_symbol
_atom_site_fract_x
_atom_site_fract_y
_atom_site_fract_z
_atom_site_occupancy
Li1 Li 0.0000 0.0000 0.0000 1
Li2 Li 0.0000 0.0000 0.4979 1
Al1 Al 0.0000 0.0000 0.7117 1
W1 W 0.0000 0.0000 0.2188 1
O1 O 0.0592 0.3439 0.2912 1
O2 O 0.0654 0.7291 0.7900 1
```

=====

What did we get for spin magnetization? Answer: 1.0 1.0 μB per formula unit, in the order shown.